A relaxed Nb2Ga2Pd crystal. Source: Alexandria, functional PBE-GGA.

Lattice parameters (Å, degrees): 2.9095 4.4312 6.7249 109.15 90.00 90.00
Closest atoms and distances in Å follow each position.
Fractional coordinates of all 5 atoms:
1 Nb 0.5000 0.3930 0.7845  3 Nb 2.74-2.91, 6 Ga 2.87-2.89, 4 Pd 2.98
2 Nb 0.5000 0.6070 0.2155  3 Nb 2.74-2.91, 6 Ga 2.87-2.89, 4 Pd 2.98
3 Ga 0.0000 0.8031 0.6051  1 Pd 2.51, 2 Ga 2.58-2.59
4 Ga 0.0000 0.1969 0.3949  1 Pd 2.51, 2 Ga 2.58-2.59
5 Pd 0.0000 0.0000 0.0000  2 Ga 2.51

Values from the calculation:
- formation enthalpy at 0 K (meV per atom) = -280.0
- V (A^3/atom) = 16.4
- N(E_F) (states/eV per atom) = 0.65
- energy relative to the lowest polymorph listed for this composition (eV per formula unit) = 0.23